Entry 1:
VASP calculation (PBE) on a relaxed NaZnCuAs crystal.

Summary:
Its magnetic moment is 0.0 μB per formula unit. The symmetry is P4/nmm (129). The formation energy comes out at -0.07 eV/atom. As for the crystal system: tetragonal.

Cell lengths 3.782, 3.782, 11.260 Å; angles 90.00, 90.00, 90.00 degrees
Element x y z (fractional)
Na 0.250 0.250 0.243
Na 0.750 0.750 0.757
Zn 0.250 0.750 0.000
Zn 0.750 0.250 0.000
Cu 0.250 0.750 0.500
Cu 0.750 0.250 0.500
As 0.250 0.250 0.641
As 0.750 0.750 0.359



Entry 2:
VASP calculation (PBE) on a relaxed SrSb2TeAs crystal.

Summary:
Its magnetic moment is 1.6 μB per formula unit. The symmetry is P4/mmm (123). The uncorrected formation energy comes out at 0.9726 eV/atom. As for the crystal system: tetragonal. The calculation puts the polymorph energy (0 for the lowest one) at 1.0680 eV/atom.

Cell lengths 6.153, 6.153, 5.966 Å; angles 90.00, 90.00, 90.00 degrees
Element x y z (fractional)
Sr 0.000 0.000 0.000
Sb 0.000 0.500 0.000
Sb 0.500 0.000 0.000
Te 0.000 0.000 0.500
As 0.500 0.500 0.500



Entry 3:
VASP calculation (PBE) on a relaxed Cs8TeH6 crystal.

Summary:
Its magnetic moment is 0.0 μB per formula unit. Its raw total energy is -2.28 eV per atom. The symmetry is R-3 (148). As for the crystal system: trigonal.

Cell lengths 8.465, 8.465, 8.465 Å; angles 91.58, 91.58, 91.58 degrees
Element x y z (fractional)
Cs 0.133 0.344 0.761
Cs 0.227 0.227 0.227
Cs 0.239 0.867 0.656
Cs 0.344 0.761 0.133
Cs 0.656 0.239 0.867
Cs 0.761 0.133 0.344
Cs 0.773 0.773 0.773
Cs 0.867 0.656 0.239
Te 0.500 0.500 0.500
H 0.081 0.664 0.893
H 0.107 0.919 0.336
H 0.336 0.107 0.919
H 0.664 0.893 0.081
H 0.893 0.081 0.664
H 0.919 0.336 0.107



Entry 4:
VASP calculation (PBE) on a relaxed Pr2Tm6Mg crystal.

Summary:
Its magnetic moment is 0.9 μB per formula unit. The symmetry is P-6m2 (187). The formation energy comes out at 0.09 eV/atom. As for the crystal system: hexagonal. The calculation puts the polymorph energy (0 for the lowest one) at 0.0562 eV/atom.

Cell lengths 3.528, 3.528, 26.055 Å; angles 90.00, 90.00, 120.00 degrees
Element x y z (fractional)
Pr 0.000 0.000 0.173
Pr 0.000 0.000 0.827
Tm 0.000 0.000 0.395
Tm 0.000 0.000 0.605
Tm 0.667 0.333 0.063
Tm 0.667 0.333 0.290
Tm 0.667 0.333 0.710
Tm 0.667 0.333 0.937
Mg 0.667 0.333 0.500



Entry 5:
VASP calculation (PBE) on a relaxed V3Cr crystal.

Summary:
Its magnetic moment is 0.0 μB per formula unit. The symmetry is I4/mmm (139). The formation energy comes out at 0.10 eV/atom. As for the crystal system: tetragonal.

Cell lengths 5.068, 5.068, 5.068 Å; angles 140.36, 140.36, 57.31 degrees
Element x y z (fractional)
V 0.000 0.000 0.000
V 0.250 0.750 0.500
V 0.750 0.250 0.500
Cr 0.500 0.500 0.000



Entry 6:
VASP calculation (PBE) on a relaxed YSc2Sn crystal.

Summary:
Its magnetic moment is 1.0 μB per formula unit. The symmetry is I-42d (122). The formation energy comes out at -0.01 eV/atom. As for the crystal system: tetragonal.

Cell lengths 6.722, 6.722, 6.722 Å; angles 102.45, 102.45, 124.67 degrees
Element x y z (fractional)
Y 0.000 0.000 0.000
Y 0.750 0.250 0.500
Sc 0.160 0.125 0.535
Sc 0.375 0.840 0.965
Sc 0.590 0.625 0.465
Sc 0.875 0.410 0.035
Sn 0.250 0.750 0.500
Sn 0.500 0.500 0.000



Entry 7:
VASP calculation (PBE) on a relaxed Li2RePt crystal.

Summary:
Its magnetic moment is 0.8 μB per formula unit. The symmetry is R-3m (166). The formation energy comes out at -0.11 eV/atom. As for the crystal system: trigonal. The calculation puts the polymorph energy (0 for the lowest one) at 0.0174 eV/atom.

Cell lengths 9.148, 9.148, 9.148 Å; angles 17.06, 17.06, 17.06 degrees
Element x y z (fractional)
Li 0.246 0.246 0.246
Li 0.754 0.754 0.754
Re 0.000 0.000 0.000
Pt 0.500 0.500 0.500



Entry 8:
VASP calculation (PBE) on a relaxed Ce4NdAs5 crystal.

Summary:
Its magnetic moment is 2.9 μB per formula unit. The symmetry is Immm (71). The formation energy comes out at -1.44 eV/atom. As for the crystal system: orthorhombic.

Cell lengths 11.192, 11.192, 11.192 Å; angles 158.22, 149.00, 38.21 degrees
Element x y z (fractional)
Ce 0.100 0.100 0.000
Ce 0.300 0.300 0.000
Ce 0.700 0.700 0.000
Ce 0.900 0.900 0.000
Nd 0.500 0.500 0.000
As 0.000 0.500 0.500
As 0.200 0.700 0.500
As 0.398 0.898 0.500
As 0.602 0.102 0.500
As 0.800 0.300 0.500



Entry 9:
VASP calculation (PBE) on a relaxed PmY5Bi6 crystal.

Summary:
Its magnetic moment is 0.0 μB per formula unit. The symmetry is C2/m (12). The formation energy comes out at -0.90 eV/atom. As for the crystal system: monoclinic.

Cell lengths 7.795, 7.795, 7.792 Å; angles 99.60, 99.60, 120.00 degrees
Element x y z (fractional)
Pm 0.000 0.000 0.000
Y 0.165 0.835 0.500
Y 0.333 0.667 0.000
Y 0.500 0.500 0.500
Y 0.667 0.333 0.000
Y 0.835 0.165 0.500
Bi 0.084 0.421 0.253
Bi 0.254 0.254 0.749
Bi 0.421 0.084 0.253
Bi 0.579 0.916 0.747
Bi 0.746 0.746 0.251
Bi 0.916 0.579 0.747



Entry 10:
VASP calculation (PBE) on a relaxed DyNp3Tl3Se8 crystal.

Summary:
Its magnetic moment is 11.0 μB per formula unit. The symmetry is C2/m (12). The uncorrected formation energy comes out at -1.0765 eV/atom. As for the crystal system: monoclinic.

Cell lengths 8.367, 8.367, 9.153 Å; angles 117.24, 117.24, 59.99 degrees
Element x y z (fractional)
Dy 0.000 0.000 0.000
Np 0.000 0.500 0.000
Np 0.500 0.000 0.000
Np 0.500 0.500 0.000
Tl 0.000 0.000 0.500
Tl 0.000 0.500 0.500
Tl 0.500 0.000 0.500
Se 0.235 0.235 0.202
Se 0.235 0.733 0.202
Se 0.266 0.266 0.798
Se 0.267 0.765 0.798
Se 0.733 0.235 0.202
Se 0.734 0.734 0.202
Se 0.765 0.267 0.798
Se 0.765 0.765 0.798



Entry 11:
VASP calculation (PBE) on a relaxed ReOs2Rh crystal.

Summary:
Its magnetic moment is 0.0 μB per formula unit. The symmetry is Pmmm (47). The formation energy comes out at 0.06 eV/atom. As for the crystal system: orthorhombic. The calculation puts the polymorph energy (0 for the lowest one) at 0.0246 eV/atom.

Cell lengths 2.720, 3.901, 5.452 Å; angles 90.00, 90.00, 90.00 degrees
Element x y z (fractional)
Re 0.000 0.000 0.000
Os 0.500 0.500 0.247
Os 0.500 0.500 0.753
Rh 0.000 0.000 0.500



Entry 12:
VASP calculation (PBE) on a relaxed Zr3HW crystal.

Summary:
Its magnetic moment is 0.0 μB per formula unit. The symmetry is Pm-3m (221). As for the crystal system: cubic. The calculation puts the polymorph energy (0 for the lowest one) at 1.3219 eV/atom.

Cell lengths 5.126, 5.126, 5.126 Å; angles 90.00, 90.00, 90.00 degrees
Element x y z (fractional)
Zr 0.000 0.000 0.500
Zr 0.000 0.500 0.000
Zr 0.500 0.000 0.000
H 0.500 0.500 0.500
W 0.000 0.000 0.000



What is the formula in the eighth record?
Ce4NdAs5